No. 1
The following is a DFT calculation (GGA-PBE) of a geometry-optimized Tb2Nd2Y6Ho structure.

POSCAR file:
```
Tb2Nd2Y6Ho
1.0
2.8429 -6.0419 0.0000
2.8429 6.0419 0.0000
0.0000 0.0000 10.6408
Tb Nd Y Ho
2 2 6 1
Cartesian
2.8429 3.5439 0.0000
2.8429 -3.5439 0.0000
2.8429 4.4290 5.3204
2.8429 -4.4290 5.3204
0.0000 0.0000 2.1584
0.0000 0.0000 8.4823
2.8429 1.8439 3.0956
2.8429 1.8439 7.5451
2.8429 -1.8439 3.0956
2.8429 -1.8439 7.5451
2.8429 0.0000 0.0000
```

Computed properties:
**Magnetization**: 0.00 Bohr magnetons per cell
**V**: 33.23 Å³ per atom
**Formation energy**: 1.6 eV/f.u.
**DOS(E_F)**: 1.710 states/eV per atom

---

No. 2
The following is a DFT calculation (GGA-PBE) of a geometry-optimized Tb2NdY4Ho2 structure.

POSCAR file:
```
Tb2NdY4Ho2
1.0
9.3509 -1.8018 0.0000
9.3509 1.8018 0.0000
-4.1556 0.0000 8.6241
Tb Nd Y Ho
2 1 4 2
Cartesian
2.0801 0.0000 1.4444
12.4661 0.0000 7.1797
-2.0778 0.0000 4.3121
0.0112 0.0000 7.1953
8.3125 0.0000 1.4171
6.2336 0.0000 7.2071
14.5349 0.0000 1.4288
4.1334 0.0000 4.3103
10.4127 0.0000 4.3138
```

Computed properties:
**Magnetization**: 0.00 Bohr magnetons per cell
**V**: 32.29 Å³ per atom
**Formation energy**: 0.0 eV/f.u.
**DOS(E_F)**: 1.382 states/eV per atom

---

No. 3
The following is a DFT calculation (GGA-PBE) of a geometry-optimized TbNd6Y3Ho2 structure.

POSCAR file:
```
TbNd6Y3Ho2
1.0
3.1421 -5.4416 0.0000
3.1421 5.4416 0.0000
-2.0878 0.0000 11.6913
Tb Nd Y Ho
1 6 3 2
Cartesian
0.0000 0.0000 0.0000
1.0513 1.8150 2.9094
0.0048 0.0000 8.7826
1.0513 -1.8150 2.9094
3.1451 1.8150 8.7820
4.1916 0.0000 2.9087
3.1451 -1.8150 8.7820
2.0982 3.6272 5.8457
2.0982 0.0000 5.8457
2.0982 -3.6272 5.8457
3.1421 1.8135 0.0000
3.1421 -1.8135 0.0000
```

Computed properties:
**Magnetization**: 0.00 Bohr magnetons per cell
**V**: 33.32 Å³ per atom
**Formation energy**: 0.1 eV/f.u.
**DOS(E_F)**: 1.158 states/eV per atom

---

No. 4
The following is a DFT calculation (GGA-PBE) of a geometry-optimized TbNd3Y6Ho2 structure.

POSCAR file:
```
TbNd3Y6Ho2
1.0
3.1128 -5.3886 0.0000
3.1128 5.3886 0.0000
-2.0676 0.0000 11.6803
Tb Nd Y Ho
1 3 6 2
Cartesian
0.0000 0.0000 0.0000
2.0790 3.5904 5.8401
2.0790 0.0000 5.8401
2.0790 -3.5904 5.8401
1.0410 1.7970 2.8783
0.0060 0.0000 8.8007
1.0410 -1.7970 2.8783
3.1170 1.7970 8.8020
4.1520 0.0000 2.8795
3.1170 -1.7970 8.8020
3.1128 1.7956 0.0000
3.1128 -1.7956 0.0000
```

Computed properties:
**Magnetization**: 0.00 Bohr magnetons per cell
**V**: 32.65 Å³ per atom
**Formation energy**: 0.2 eV/f.u.
**DOS(E_F)**: 1.396 states/eV per atom

---

No. 5
The following is a DFT calculation (GGA-PBE) of a geometry-optimized Tb2NdY6Ho3 structure.

POSCAR file:
```
Tb2NdY6Ho3
1.0
3.0906 -5.3478 0.0000
3.0906 5.3478 0.0000
-2.0505 0.0000 11.6376
Tb Nd Y Ho
2 1 6 3
Cartesian
3.0906 3.5664 0.0000
3.0906 -3.5664 0.0000
3.0906 0.0000 0.0000
0.0027 1.7852 8.7050
1.0321 0.0000 2.9328
0.0027 -1.7852 8.7050
4.1279 1.7852 2.9326
3.0985 0.0000 8.7048
4.1279 -1.7852 2.9326
-1.0253 0.0000 5.8188
2.0653 1.7859 5.8188
2.0653 -1.7859 5.8188
```

Computed properties:
**Magnetization**: 0.00 Bohr magnetons per cell
**V**: 32.06 Å³ per atom
**Formation energy**: 0.2 eV/f.u.
**DOS(E_F)**: 1.417 states/eV per atom

---

No. 6
The following is a DFT calculation (GGA-PBE) of a geometry-optimized Tb6NdY3Ho2 structure.

POSCAR file:
```
Tb6NdY3Ho2
1.0
3.1047 -5.3776 0.0000
3.1047 5.3776 0.0000
-2.0746 0.0000 11.3707
Tb Nd Y Ho
6 1 3 2
Cartesian
-0.0055 1.7953 8.5348
1.0308 0.0000 2.8343
-0.0055 -1.7953 8.5348
4.1403 1.7953 2.8359
3.1040 0.0000 8.5364
4.1403 -1.7953 2.8359
3.1047 0.0000 0.0000
-1.0373 0.0000 5.6853
2.0674 1.7976 5.6853
2.0674 -1.7976 5.6853
3.1047 3.5856 0.0000
3.1047 -3.5856 0.0000
```

Computed properties:
**Magnetization**: 0.00 Bohr magnetons per cell
**V**: 31.64 Å³ per atom
**Formation energy**: 0.3 eV/f.u.
**DOS(E_F)**: 1.341 states/eV per atom

---

Number 5 is which compound? Tb2NdY6Ho3